[1]
{"formula": "Ca2NiAs", "functional": "PBE-GGA", "state": "optimized geometry", "crystal_system": "orthorhombic", "space_group": "Cmm2", "lattice_angstrom": [[-0.2760, 1.9609, 2.8327], [-3.3824, 0.2707, -0.6574], [-1.3955, -6.6272, 4.4516]], "species": ["Ca", "Ca", "As", "Ni"], "fractional_positions": [[0.0000, 0.0000, 0.9274], [0.5000, 0.5000, 0.3178], [0.5000, 0.5000, 0.6738], [0.0000, 0.0000, 0.5810]]}

[2]
{"formula": "CaNiAs2", "functional": "PBE-GGA", "state": "optimized geometry", "crystal_system": "tetragonal", "space_group": "P4mm", "lattice_angstrom": [[-1.0628, 2.8829, -1.5542], [-2.9378, -0.1169, 1.7921], [2.7153, 3.5246, 4.6809]], "species": ["As", "As", "Ni", "Ca"], "fractional_positions": [[0.0000, 0.0000, 0.9503], [0.5000, 0.5000, 0.2154], [0.5000, 0.5000, 0.8456], [0.0000, 0.0000, 0.4886]]}

[3]
{"formula": "Ca3Ni4As4", "functional": "PBE-GGA", "state": "optimized geometry", "crystal_system": "cubic", "space_group": "I-43m", "lattice_angstrom": [[-4.9354, 4.0607, 0.0090], [1.0106, -2.1117, -5.9470], [-1.3072, -4.9504, 3.8252]], "species": ["Ca", "Ca", "Ca", "As", "As", "As", "As", "Ni", "Ni", "Ni", "Ni"], "fractional_positions": [[0.5000, 0.5000, 0.0000], [0.0000, 0.5000, 0.5000], [0.5000, 0.0000, 0.5000], [0.6281, 0.0000, 0.0000], [0.3719, 0.3719, 0.3719], [0.0000, 0.0000, 0.6281], [0.0000, 0.6281, 0.0000], [0.0000, 0.2675, 0.0000], [0.7325, 0.7325, 0.7325], [0.0000, 0.0000, 0.2675], [0.2675, 0.0000, 0.0000]]}

[4]
{"formula": "CaNi4As", "functional": "PBE-GGA", "state": "optimized geometry", "crystal_system": "cubic", "space_group": "F-43m", "lattice_angstrom": [[0.0000, 3.4774, 3.4774], [3.4774, 0.0000, 3.4774], [3.4774, 3.4774, 0.0000]], "species": ["Ni", "Ni", "Ni", "Ni", "Ca", "As"], "fractional_positions": [[0.3757, 0.8729, 0.3757], [0.3757, 0.3757, 0.8729], [0.8729, 0.3757, 0.3757], [0.3757, 0.3757, 0.3757], [0.0000, 0.0000, 0.0000], [0.7500, 0.7500, 0.7500]]}

[5]
{"formula": "Ca2NiAs", "functional": "PBE-GGA", "state": "optimized geometry", "crystal_system": "orthorhombic", "space_group": "Cmmm", "lattice_angstrom": [[4.7249, -0.0876, 0.0127], [0.0732, 4.7252, 0.0127], [-0.0109, -0.0105, 3.8612]], "species": ["Ca", "Ca", "Ni", "As"], "fractional_positions": [[0.5000, 0.5000, 0.0000], [0.0000, 0.0000, 0.0000], [0.5000, 0.0000, 0.5000], [0.0000, 0.5000, 0.5000]]}

[6]
{"formula": "CaNi2As", "functional": "PBE-GGA", "state": "optimized geometry", "crystal_system": "cubic", "space_group": "F-43m", "lattice_angstrom": [[4.4882, 0.0000, 0.0000], [2.2441, 3.8869, 0.0000], [2.2441, 1.2956, 3.6646]], "species": ["Ca", "Ni", "Ni", "As"], "fractional_positions": [[0.7500, 0.7500, 0.7500], [0.0000, 0.0000, 0.0000], [0.2500, 0.2500, 0.2500], [0.5000, 0.5000, 0.5000]]}

[7]
{"formula": "Ca2NiAs", "functional": "PBE-GGA", "state": "optimized geometry", "crystal_system": "trigonal", "space_group": "R3m", "lattice_angstrom": [[7.7723, -0.0021, -0.0013], [6.7069, 3.9276, -0.0013], [6.7069, 1.8183, 3.4814]], "species": ["Ca", "Ca", "Ni", "As"], "fractional_positions": [[0.0378, 0.0378, 0.0378], [0.2122, 0.2122, 0.2122], [0.4579, 0.4579, 0.4579], [0.7921, 0.7921, 0.7921]]}

[8]
{"formula": "Ca2Ni12As7", "functional": "PBE-GGA", "state": "optimized geometry", "crystal_system": "trigonal", "relative_energy_kj_per_mol_atoms": 1.0, "space_group": "P-3", "lattice_angstrom": [[3.8233, 0.0000, 0.0000], [0.0000, 8.1935, -4.7305], [0.0000, 0.0000, 9.4611]], "species": ["As", "As", "As", "As", "As", "As", "As", "Ni", "Ni", "Ni", "Ni", "Ni", "Ni", "Ni", "Ni", "Ni", "Ni", "Ni", "Ni", "Ca", "Ca"], "fractional_positions": [[0.7465, 0.5925, 0.8871], [0.5000, 0.0000, 0.0000], [0.7465, 0.2946, 0.4075], [0.7465, 0.1129, 0.7054], [0.2535, 0.8871, 0.2946], [0.2535, 0.7054, 0.5925], [0.2535, 0.4075, 0.1129], [0.7502, 0.5687, 0.6234], [0.2498, 0.6234, 0.0547], [0.7650, 0.8833, 0.7428], [0.2350, 0.1405, 0.8833], [0.2498, 0.4313, 0.3766], [0.7650, 0.8595, 0.1167], [0.2350, 0.1167, 0.2572], [0.7502, 0.0547, 0.4313], [0.2498, 0.9453, 0.5687], [0.2350, 0.7428, 0.8595], [0.7502, 0.3766, 0.9453], [0.7650, 0.2572, 0.1405], [0.7527, 0.6667, 0.3333], [0.2473, 0.3333, 0.6667]]}

[9]
{"formula": "CaNiAs", "functional": "PBE-GGA", "state": "optimized geometry", "crystal_system": "orthorhombic", "space_group": "Imm2", "lattice_angstrom": [[-0.0621, -2.6282, -4.1328], [4.5195, -0.7989, -1.7109], [-2.4592, -0.7215, 4.1742]], "species": ["As", "Ca", "Ni"], "fractional_positions": [[0.0205, 0.0205, 0.0000], [0.6734, 0.6734, 0.0000], [0.3061, 0.3061, 0.0000]]}

[10]
{"formula": "CaNi2As", "functional": "PBE-GGA", "state": "optimized geometry", "crystal_system": "monoclinic", "space_group": "Cm", "lattice_angstrom": [[4.0585, -0.0193, 0.0469], [2.0440, 3.5063, 0.0469], [1.9831, 1.1332, 5.0182]], "species": ["As", "Ni", "Ni", "Ca"], "fractional_positions": [[0.4500, 0.4500, 0.6500], [0.0548, 0.0548, 0.8356], [0.7434, 0.7434, 0.7697], [0.2517, 0.2517, 0.2448]]}

[11]
{"formula": "Ca2NiAs", "functional": "PBE-GGA", "state": "optimized geometry", "crystal_system": "tetragonal", "space_group": "P4mm", "lattice_angstrom": [[-0.8414, -1.1918, 3.9246], [3.9825, -1.1953, 0.4908], [1.3877, 5.4215, 1.9438]], "species": ["Ni", "Ca", "Ca", "As"], "fractional_positions": [[0.0000, 0.0000, 0.3843], [0.5000, 0.5000, 0.3680], [0.0000, 0.0000, 0.8807], [0.5000, 0.5000, 0.8670]]}

[12]
{"formula": "Ca2Ni2As3", "functional": "PBE-GGA", "state": "optimized geometry", "crystal_system": "orthorhombic", "space_group": "Cmcm", "lattice_angstrom": [[-3.5933, -2.1058, -0.4737], [-0.6632, -0.3237, 6.4695], [-3.1095, 9.4434, 0.1537]], "species": ["Ni", "Ni", "Ni", "Ni", "Ca", "Ca", "Ca", "Ca", "As", "As", "As", "As", "As", "As"], "fractional_positions": [[0.7036, 0.5552, 0.4073], [0.7036, 0.9448, 0.4073], [0.2964, 0.0552, 0.5927], [0.2964, 0.4448, 0.5927], [0.8410, 0.7500, 0.6819], [0.1590, 0.2500, 0.3181], [0.9647, 0.2500, 0.9294], [0.0353, 0.7500, 0.0706], [0.2259, 0.7500, 0.4518], [0.4166, 0.9566, 0.8333], [0.5834, 0.4566, 0.1667], [0.5834, 0.0434, 0.1667], [0.7741, 0.2500, 0.5482], [0.4166, 0.5434, 0.8333]]}

[13]
{"formula": "Ca2NiAs", "functional": "PBE-GGA", "state": "optimized geometry", "crystal_system": "orthorhombic", "space_group": "Amm2", "lattice_angstrom": [[4.1676, 0.0000, 0.0000], [0.0000, 4.2763, 0.0093], [0.0000, 2.1239, 5.2448]], "species": ["Ni", "As", "Ca", "Ca"], "fractional_positions": [[0.0000, 0.6797, 0.5155], [0.5000, 0.5674, 0.7404], [0.5000, 0.2677, 0.3393], [0.0000, 0.9851, 0.9048]]}

[14]
{"formula": "Ca2Ni12As7", "functional": "PBE-GGA", "state": "optimized geometry", "crystal_system": "hexagonal", "relative_energy_kj_per_mol_atoms": 0.0, "space_group": "P-6", "lattice_angstrom": [[-1.9927, -5.5223, 7.3661], [7.7102, -1.6308, -5.1594], [2.0201, 2.3197, 2.2855]], "species": ["As", "As", "As", "As", "As", "As", "As", "Ni", "Ni", "Ni", "Ni", "Ni", "Ni", "Ni", "Ni", "Ni", "Ni", "Ni", "Ni", "Ca", "Ca"], "fractional_positions": [[0.0351, 0.7737, 0.5000], [0.4501, 0.0711, 0.0000], [0.6211, 0.5499, 0.0000], [0.7386, 0.9649, 0.5000], [0.3333, 0.6667, 0.0000], [0.2263, 0.2614, 0.5000], [0.9289, 0.3789, 0.0000], [0.2854, 0.0421, 0.5000], [0.1813, 0.3875, 0.0000], [0.3883, 0.2854, 0.0000], [0.4277, 0.5533, 0.5000], [0.8971, 0.6117, 0.0000], [0.7567, 0.7146, 0.5000], [0.4467, 0.8744, 0.5000], [0.7146, 0.1029, 0.0000], [0.9579, 0.2433, 0.5000], [0.6125, 0.7938, 0.0000], [0.1256, 0.5723, 0.5000], [0.2062, 0.8187, 0.0000], [0.0000, 0.0000, 0.0000], [0.6667, 0.3333, 0.5000]]}

[15]
{"formula": "Ca3NiAs3", "functional": "PBE-GGA", "state": "optimized geometry", "crystal_system": "orthorhombic", "space_group": "Cmce", "lattice_angstrom": [[-3.4146, 2.5134, -4.4505], [8.1105, -3.3633, -3.8773], [-5.3648, -10.7098, -1.9321]], "species": ["Ca", "Ca", "Ca", "Ca", "Ca", "Ca", "Ca", "Ca", "Ca", "Ca", "Ca", "Ca", "Ni", "Ni", "Ni", "Ni", "As", "As", "As", "As", "As", "As", "As", "As", "As", "As", "As", "As"], "fractional_positions": [[0.6847, 0.0000, 0.8546], [0.8153, 0.0000, 0.3546], [0.5242, 0.6490, 0.1291], [0.3752, 0.3510, 0.3709], [0.6248, 0.6490, 0.6291], [0.3153, 0.0000, 0.1454], [0.8752, 0.3510, 0.1291], [0.1248, 0.6490, 0.8709], [0.4758, 0.3510, 0.8709], [0.1847, 0.0000, 0.6454], [0.0242, 0.6490, 0.3709], [0.9758, 0.3510, 0.6291], [0.9208, 0.8415, 0.0000], [0.4208, 0.8415, 0.5000], [0.5792, 0.1585, 0.5000], [0.0792, 0.1585, 0.0000], [0.4557, 0.3172, 0.6190], [0.2057, 0.0000, 0.8920], [0.7943, 0.0000, 0.1080], [0.5443, 0.6828, 0.3810], [0.1385, 0.6828, 0.6190], [0.6385, 0.6828, 0.8810], [0.2943, 0.0000, 0.3920], [0.3615, 0.3172, 0.1190], [0.9557, 0.3172, 0.8810], [0.0443, 0.6828, 0.1190], [0.8615, 0.3172, 0.3810], [0.7057, 0.0000, 0.6080]]}

[16]
{"formula": "CaNi2As", "functional": "PBE-GGA", "state": "optimized geometry", "crystal_system": "monoclinic", "space_group": "C2/m", "lattice_angstrom": [[-1.0301, -3.2888, -3.5457], [3.9784, -1.0214, 3.1894], [-1.0366, -1.9718, 2.0304]], "species": ["Ni", "Ni", "Ca", "As"], "fractional_positions": [[0.5000, 0.0000, 0.5000], [0.0000, 0.0000, 0.0000], [0.5000, 0.5000, 0.0000], [0.0000, 0.5000, 0.5000]]}

[17]
{"formula": "CaNi5As3", "functional": "PBE-GGA", "state": "optimized geometry", "crystal_system": "orthorhombic", "space_group": "Cmcm", "lattice_angstrom": [[3.7213, 0.0000, 0.0000], [-1.8607, 6.1188, 0.0000], [0.0000, 0.0000, 11.8146]], "species": ["Ni", "Ni", "Ni", "Ni", "Ni", "Ni", "Ni", "Ni", "Ni", "Ni", "As", "As", "As", "As", "As", "As", "Ca", "Ca"], "fractional_positions": [[0.5482, 0.0964, 0.6446], [0.5482, 0.0964, 0.8554], [0.1944, 0.3887, 0.5676], [0.0000, 0.0000, 0.0000], [0.1944, 0.3887, 0.9324], [0.8056, 0.6113, 0.0676], [0.4518, 0.9036, 0.1446], [0.0000, 0.0000, 0.5000], [0.4518, 0.9036, 0.3554], [0.8056, 0.6113, 0.4324], [0.6209, 0.2417, 0.0445], [0.8852, 0.7704, 0.2500], [0.6209, 0.2417, 0.4555], [0.1148, 0.2296, 0.7500], [0.3791, 0.7583, 0.9555], [0.3791, 0.7583, 0.5445], [0.8382, 0.6764, 0.7500], [0.1618, 0.3236, 0.2500]]}

[18]
{"formula": "CaNiAs2", "functional": "PBE-GGA", "state": "optimized geometry", "crystal_system": "tetragonal", "space_group": "I-4m2", "lattice_angstrom": [[-5.2773, -0.2488, 1.0552], [-1.4299, -2.2592, 4.6773], [3.4866, 3.7805, -1.6052]], "species": ["Ni", "Ca", "As", "As"], "fractional_positions": [[0.7500, 0.2500, 0.5000], [0.5000, 0.5000, 0.0000], [0.2500, 0.7500, 0.5000], [0.0000, 0.0000, 0.0000]]}

[19]
{"formula": "CaNiAs2", "functional": "PBE-GGA", "state": "optimized geometry", "crystal_system": "orthorhombic", "space_group": "Cmmm", "lattice_angstrom": [[-3.3330, -1.1440, 0.2139], [1.4958, 0.0934, 3.1964], [-2.1212, 6.3314, 0.8076]], "species": ["Ni", "As", "As", "Ca"], "fractional_positions": [[0.5000, 0.5000, 0.7500], [0.0000, 0.0000, 0.9468], [0.0000, 0.0000, 0.5532], [0.5000, 0.5000, 0.2500]]}

[20]
{"formula": "CaNi2As", "functional": "PBE-GGA", "state": "optimized geometry", "crystal_system": "tetragonal", "space_group": "P4/mmm", "lattice_angstrom": [[3.1806, -0.0032, 0.0000], [0.0010, 3.1806, 0.0000], [0.0000, 0.0000, 6.5440]], "species": ["As", "Ni", "Ni", "Ca"], "fractional_positions": [[0.5000, 0.5000, 0.2500], [0.0000, 0.0000, 0.0604], [0.0000, 0.0000, 0.4396], [0.5000, 0.5000, 0.7500]]}

For each record above, in turn, the calculated electronic total energy values are -3.857, -4.527, -5.031, -5.056, -4.069, -4.578, -4.280, -5.508, -4.371, -5.042, -3.866, -4.906, -4.257, -5.518, -4.581, -4.493, -5.491, -4.483, -4.588, -4.633 eV/atom.
For each record above, in turn, the calculated M_tot values are 0.0, 0.0, 0.0, 0.0, 0.0, 0.0, 0.0, 0.0, 0.0, 0.0, 0.8, 0.0, 0.0, 0.0, 0.0, 0.0, 0.0, 0.0, 0.0, 0.0 μB per formula unit.
For each record above, in turn, the calculated calculated formation energy values are -1.0, -1.0, -7.6, -0.6, -1.8, -0.1, -2.7, -9.7, -0.7, -2.0, -1.0, -4.8, -2.6, -10.0, -6.3, 0.2, -4.6, -0.8, -1.3, -0.3 eV/f.u..